Entry 1:
The following is a GGA-PBE calculation of a geometry-optimized LaPr2Tc structure, from Alexandria via LeMat-Bulk.

Lattice parameters (Å, degrees): 7.4218 9.8933 6.6879 90.00 90.00 90.00
Space group Pnma (No. 62)
Symmetry-distinct sites (fractional):
La 0.0620 0.2500 0.1336 (multiplicity 4)
Pr 0.1738 0.0666 0.6677 (multiplicity 8)
Tc 0.1251 0.7500 0.4766 (multiplicity 4)

Energy of formation from the pure elements in eV/f.u.: 0.0
Energy in eV per formula unit: -24.86
Crystal system: orthorhombic
V in Å³ per cell: 491.1

=====

Entry 2:
The following is a GGA-PBE calculation of a geometry-optimized Dy5MgRu4 structure, from Alexandria via LeMat-Bulk.

Lattice parameters (Å, degrees): 3.4085 3.4085 18.4148 90.00 90.00 90.00
Space group P4/mmm (No. 123)
Symmetry-distinct sites (fractional):
Dy 0.0000 0.0000 0.0000 (multiplicity 1)
Dy 0.0000 0.0000 0.1834 (multiplicity 2)
Dy 0.0000 0.0000 0.3664 (multiplicity 2)
Mg 0.5000 0.5000 0.5000 (multiplicity 1)
Ru 0.5000 0.5000 0.0929 (multiplicity 2)
Ru 0.5000 0.5000 0.2817 (multiplicity 2)

Energy of formation from the pure elements in eV/f.u.: -3.3
Energy in eV per formula unit: -64.98
Crystal system: tetragonal
V in Å³ per cell: 213.9

=====

Entry 3:
The following is a GGA-PBE calculation of a geometry-optimized Al2Mo structure, from Alexandria via LeMat-Bulk.

Lattice parameters (Å, degrees): 10.1515 2.8091 6.7082 90.00 102.13 90.00
Space group Cm (No. 8)
Symmetry-distinct sites (fractional):
Al 0.0000 0.0000 0.0000 (multiplicity 2)
Al 0.0660 0.0000 0.6035 (multiplicity 2)
Al 0.1815 0.5000 0.3046 (multiplicity 2)
Al 0.3382 0.0000 0.6605 (multiplicity 2)
Mo 0.2233 0.5000 0.9209 (multiplicity 2)
Mo 0.4090 0.0000 0.2986 (multiplicity 2)

Energy of formation from the pure elements in eV/f.u.: -0.5
Energy in eV per formula unit: -18.82
Crystal system: monoclinic
V in Å³ per cell: 187.0

=====

Entry 4:
The following is a GGA-PBE calculation of a geometry-optimized LiNdBi2Pd4 structure, from Alexandria via LeMat-Bulk.

Lattice parameters (Å, degrees): 4.7253 4.7253 24.9887 90.00 90.00 120.00
Space group R-3m (No. 166, hexagonal axes)
Symmetry-distinct sites (fractional):
Li 0.0000 0.0000 0.0000 (multiplicity 3)
Nd 0.0000 0.0000 0.5000 (multiplicity 3)
Bi 0.0000 0.0000 0.2563 (multiplicity 6)
Pd 0.0000 0.0000 0.1062 (multiplicity 6)
Pd 0.0000 0.0000 0.3691 (multiplicity 6)

Energy of formation from the pure elements in eV/f.u.: -4.3
Energy in eV per formula unit: -39.55
Crystal system: trigonal
V in Å³ per cell: 483.2

=====

Entry 5:
The following is a GGA-PBE calculation of a geometry-optimized Sr2ScTc3O12 structure, from Alexandria via LeMat-Bulk.

Lattice parameters (Å, degrees): 7.3817 7.3817 18.0578 90.00 90.00 120.00
Space group R-3m (No. 166, hexagonal axes)
Symmetry-distinct sites (fractional):
Sr 0.0000 0.0000 0.1953 (multiplicity 6)
Sc 0.0000 0.0000 0.5000 (multiplicity 3)
Tc 0.0000 0.5000 0.0000 (multiplicity 9)
O 0.0491 0.5246 0.1050 (multiplicity 18)
O 0.0896 0.5448 0.3489 (multiplicity 18)

Formation energy (no corrections) in eV per atom: -1.91
Energy in eV per formula unit: -134.68
Crystal system: trigonal
V in Å³ per cell: 852.1

=====

Entry 6:
The following is a GGA-PBE calculation of a geometry-optimized Tb2YI structure, from Alexandria via LeMat-Bulk.

Lattice parameters (Å, degrees): 3.7537 3.7537 31.5663 90.00 90.00 120.00
Space group R-3m (No. 166, hexagonal axes)
Symmetry-distinct sites (fractional):
Tb 0.0000 0.0000 0.2453 (multiplicity 6)
Y 0.0000 0.0000 0.0000 (multiplicity 3)
I 0.0000 0.0000 0.5000 (multiplicity 3)

Formation energy (no corrections) in eV per atom: -0.35
Energy in eV per formula unit: -18.68
Crystal system: trigonal
V in Å³ per cell: 385.2

=====

Entry 7:
The following is a GGA-PBE calculation of a geometry-optimized AcLaAu4 structure, from Alexandria via LeMat-Bulk.

Lattice parameters (Å, degrees): 4.8189 4.8302 7.6115 89.97 89.91 60.20
Space group P-1 (No. 2)
Symmetry-distinct sites (fractional):
Ac 0.0000 0.0000 0.0000 (multiplicity 1)
La 0.0000 0.0000 0.5000 (multiplicity 1)
Au 0.3335 0.3323 0.7374 (multiplicity 2)
Au 0.3337 0.3324 0.2625 (multiplicity 2)

Energy of formation from the pure elements in eV/f.u.: -5.0
Energy in eV per formula unit: -27.10
Crystal system: triclinic
V in Å³ per cell: 153.7

=====

Entry 8:
The following is a GGA-PBE calculation of a geometry-optimized PmHo5In4 structure, from Alexandria via LeMat-Bulk.

Lattice parameters (Å, degrees): 3.5461 3.5461 21.8976 90.00 90.00 90.00
Space group P4/mmm (No. 123)
Symmetry-distinct sites (fractional):
Pm 0.0000 0.0000 0.0000 (multiplicity 1)
Ho 0.5000 0.5000 0.1183 (multiplicity 2)
Ho 0.5000 0.5000 0.3085 (multiplicity 2)
Ho 0.5000 0.5000 0.5000 (multiplicity 1)
In 0.0000 0.0000 0.2128 (multiplicity 2)
In 0.0000 0.0000 0.4043 (multiplicity 2)

Energy of formation from the pure elements in eV/f.u.: -3.7
Energy in eV per formula unit: -42.29
Crystal system: tetragonal
V in Å³ per cell: 275.4

=====

Entry 9:
The following is a GGA-PBE calculation of a geometry-optimized Sc6Ge2SbTe3 structure, from Alexandria via LeMat-Bulk.

Lattice parameters (Å, degrees): 17.8584 4.0631 8.2330 90.00 103.86 90.00
Space group C2/m (No. 12)
Symmetry-distinct sites (fractional):
Sc 0.0120 0.0000 0.2515 (multiplicity 4)
Sc 0.1681 0.5000 0.1121 (multiplicity 4)
Sc 0.1744 0.5000 0.5670 (multiplicity 4)
Ge 0.1682 0.0000 0.3365 (multiplicity 4)
Sb 0.0000 0.5000 0.0000 (multiplicity 2)
Te 0.0000 0.5000 0.5000 (multiplicity 2)
Te 0.1631 0.0000 0.8344 (multiplicity 4)

Formation energy (no corrections) in eV per atom: -1.05
Energy in eV per formula unit: -73.37
Crystal system: monoclinic
V in Å³ per cell: 580.0

=====

Entry 10:
The following is a GGA-PBE calculation of a geometry-optimized BaInPd4 structure, from Alexandria via LeMat-Bulk.

Lattice parameters (Å, degrees): 7.9641 4.2812 8.0378 90.00 90.00 90.00
Space group Pmma (No. 51)
Symmetry-distinct sites (fractional):
Ba 0.2500 0.0000 0.1555 (multiplicity 2)
In 0.2500 0.0000 0.7229 (multiplicity 2)
Pd 0.0000 0.0000 0.5000 (multiplicity 2)
Pd 0.0448 0.5000 0.7364 (multiplicity 4)
Pd 0.2500 0.5000 0.4549 (multiplicity 2)

Energy of formation from the pure elements in eV/f.u.: -2.2
Energy in eV per formula unit: -27.68
Crystal system: orthorhombic
V in Å³ per cell: 274.1

=====

Entry 11:
The following is a GGA-PBE calculation of a geometry-optimized PmDy7Cd2 structure, from Alexandria via LeMat-Bulk.

Lattice parameters (Å, degrees): 9.0230 15.4313 5.3531 90.00 90.00 90.00
Space group Cmmm (No. 65)
Symmetry-distinct sites (fractional):
Pm 0.0000 0.0000 0.0000 (multiplicity 2)
Dy 0.0000 0.2312 0.0000 (multiplicity 4)
Dy 0.0000 0.5000 0.5000 (multiplicity 2)
Dy 0.1815 0.1195 0.5000 (multiplicity 8)
Cd 0.0000 0.3037 0.5000 (multiplicity 4)

Energy of formation from the pure elements in eV/f.u.: 4.1
Energy in eV per formula unit: -34.65
Crystal system: orthorhombic
V in Å³ per cell: 745.3

=====

Entry 12:
The following is a GGA-PBE calculation of a geometry-optimized IrPb2 structure, from Alexandria via LeMat-Bulk.

Lattice parameters (Å, degrees): 3.8270 3.8270 6.2702 90.00 90.00 120.00
Space group P-3m1 (No. 164)
Symmetry-distinct sites (fractional):
Ir 0.0000 0.0000 0.0000 (multiplicity 1)
Pb 0.3333 0.6667 0.2686 (multiplicity 2)

Energy of formation from the pure elements in eV/f.u.: 0.8
Energy in eV per formula unit: -15.44
Crystal system: trigonal
V in Å³ per cell: 79.5

=====

Q: Which of these has the lowest energy?
A: Sr2ScTc3O12

=====

Copy entry 5 word for word.
The following is a GGA-PBE calculation of a geometry-optimized Sr2ScTc3O12 structure, from Alexandria via LeMat-Bulk.

Lattice parameters (Å, degrees): 7.3817 7.3817 18.0578 90.00 90.00 120.00
Space group R-3m (No. 166, hexagonal axes)
Symmetry-distinct sites (fractional):
Sr 0.0000 0.0000 0.1953 (multiplicity 6)
Sc 0.0000 0.0000 0.5000 (multiplicity 3)
Tc 0.0000 0.5000 0.0000 (multiplicity 9)
O 0.0491 0.5246 0.1050 (multiplicity 18)
O 0.0896 0.5448 0.3489 (multiplicity 18)

Formation energy (no corrections) in eV per atom: -1.91
Energy in eV per formula unit: -134.68
Crystal system: trigonal
V in Å³ per cell: 852.1

=====

Q: V of number 7 (AcLaAu4)?
A: 153.7 Å³ per cell